[1]
This record from the Alexandria database describes crystalline ScAlSi at its relaxed geometry. The functional is GGA-PBE.

```
ScAlSi
1.0
4.115 0.000 0.000
-2.058 3.564 0.000
0.000 0.000 3.646
Sc Al Si
1 1 1
direct
0.000 0.000 0.000
0.667 0.333 0.500
0.333 0.667 0.500
```

Results
The value obtained for the formation energy from raw total energies is -0.460 eV/atom. As for the total magnetization: 0.00 Bohr magnetons per cell. Its total DFT energy (no corrections) is -16.88 eV/cell.

[2]
This record from the Alexandria database describes crystalline Sc2AlSi at its relaxed geometry. The functional is GGA-PBE.

```
Sc2AlSi
1.0
-2.115 2.115 4.078
2.115 -2.115 4.078
2.115 2.115 -4.078
Sc Al Si
2 1 1
direct
0.250 0.750 0.500
0.750 0.250 0.500
0.000 0.000 0.000
0.500 0.500 0.000
```

Results
The value obtained for the formation energy from raw total energies is -0.485 eV/atom. As for the total magnetization: 0.00 Bohr magnetons per cell. Its total DFT energy (no corrections) is -23.77 eV/cell.

[3]
This record from the Alexandria database describes crystalline Sc2AlSi at its relaxed geometry. The functional is GGA-PBE.

```
Sc2AlSi
1.0
1.657 0.956 8.513
-1.657 0.956 8.513
0.000 -1.913 8.513
Sc Al Si
2 1 1
direct
0.243 0.243 0.243
0.757 0.757 0.757
0.000 0.000 0.000
0.500 0.500 0.500
```

Results
The value obtained for the formation energy from raw total energies is -0.307 eV/atom. As for the total magnetization: 0.00 Bohr magnetons per cell. Its total DFT energy (no corrections) is -23.06 eV/cell.

[4]
This record from the Alexandria database describes crystalline Sc2AlSi at its relaxed geometry. The functional is GGA-PBE.

```
Sc2AlSi
1.0
3.028 -4.021 0.000
3.028 4.021 0.000
0.000 0.000 3.006
Sc Al Si
2 1 1
direct
0.000 0.500 0.000
0.500 0.000 0.000
0.000 0.000 0.500
0.500 0.500 0.500
```

Results
The value obtained for the formation energy from raw total energies is -0.474 eV/atom. As for the total magnetization: 0.00 Bohr magnetons per cell. Its total DFT energy (no corrections) is -23.72 eV/cell.

[5]
This record from the Alexandria database describes crystalline ScAlSi2 at its relaxed geometry. The functional is GGA-PBE.

```
ScAlSi2
1.0
0.000 3.250 3.250
3.250 0.000 3.250
3.250 3.250 0.000
Sc Al Si
1 1 2
direct
0.000 0.000 0.000
0.750 0.750 0.750
0.250 0.250 0.250
0.500 0.500 0.500
```

Results
The value obtained for the formation energy from raw total energies is 0.135 eV/atom. As for the total magnetization: 0.00 Bohr magnetons per cell. Its total DFT energy (no corrections) is -20.38 eV/cell.

[6]
This record from the Alexandria database describes crystalline ScAlSi at its relaxed geometry. The functional is GGA-PBE.

```
ScAlSi
1.0
-1.489 1.816 4.873
1.489 -1.816 4.873
1.489 1.816 -4.873
Sc Al Si
1 1 1
direct
0.000 0.000 0.000
0.304 0.304 0.000
0.680 0.680 0.000
```

Results
The value obtained for the formation energy from raw total energies is -0.272 eV/atom. As for the total magnetization: 0.25 Bohr magnetons per cell. Its total DFT energy (no corrections) is -16.31 eV/cell.

[7]
This record from the Alexandria database describes crystalline ScAlSi2 at its relaxed geometry. The functional is GGA-PBE.

```
ScAlSi2
1.0
2.911 0.000 0.000
0.000 4.375 0.000
0.000 0.000 5.204
Sc Al Si
1 1 2
direct
0.000 0.000 0.000
0.500 0.000 0.500
0.500 0.500 0.238
0.500 0.500 0.762
```

Results
The value obtained for the formation energy from raw total energies is -0.315 eV/atom. As for the total magnetization: 0.00 Bohr magnetons per cell. Its total DFT energy (no corrections) is -22.18 eV/cell.

[8]
This record from the Alexandria database describes crystalline Sc2AlSi at its relaxed geometry. The functional is GGA-PBE.

```
Sc2AlSi
1.0
0.000 3.323 3.323
3.323 0.000 3.323
3.323 3.323 0.000
Sc Al Si
2 1 1
direct
0.000 0.000 0.000
0.250 0.250 0.250
0.500 0.500 0.500
0.750 0.750 0.750
```

Results
The value obtained for the formation energy from raw total energies is 0.013 eV/atom. As for the total magnetization: 0.00 Bohr magnetons per cell. Its total DFT energy (no corrections) is -21.78 eV/cell.

[9]
This record from the Alexandria database describes crystalline Sc2AlSi at its relaxed geometry. The functional is GGA-PBE.

```
Sc2AlSi
1.0
3.234 0.000 0.000
0.000 3.234 0.000
0.000 0.000 7.404
Sc Al Si
2 1 1
direct
0.000 0.000 0.000
0.500 0.500 0.331
0.500 0.500 0.746
0.000 0.000 0.571
```

Results
The value obtained for the formation energy from raw total energies is -0.231 eV/atom. As for the total magnetization: 0.00 Bohr magnetons per cell. Its total DFT energy (no corrections) is -22.75 eV/cell.

[10]
This record from the Alexandria database describes crystalline ScAlSi2 at its relaxed geometry. The functional is GGA-PBE.

```
ScAlSi2
1.0
2.941 0.000 0.000
0.000 2.941 0.000
0.000 0.000 7.689
Sc Al Si
1 1 2
direct
0.000 0.000 0.000
0.000 0.000 0.500
0.500 0.500 0.258
0.500 0.500 0.742
```

Results
The value obtained for the formation energy from raw total energies is -0.086 eV/atom. As for the total magnetization: 0.00 Bohr magnetons per cell. Its total DFT energy (no corrections) is -21.27 eV/cell.

[11]
This record from the Alexandria database describes crystalline ScAlSi at its relaxed geometry. The functional is GGA-PBE.

```
ScAlSi
1.0
0.000 2.541 5.134
2.064 0.000 5.134
2.064 2.541 0.000
Sc Al Si
1 1 1
direct
0.000 0.000 0.000
0.309 0.309 0.691
0.670 0.670 0.330
```

Results
The value obtained for the formation energy from raw total energies is -0.275 eV/atom. As for the total magnetization: 0.00 Bohr magnetons per cell. Its total DFT energy (no corrections) is -16.32 eV/cell.

[12]
This record from the Alexandria database describes crystalline ScAlSi2 at its relaxed geometry. The functional is GGA-PBE.

```
ScAlSi2
1.0
2.857 0.000 0.000
0.000 4.543 0.000
0.000 0.000 5.088
Sc Al Si
1 1 2
direct
0.000 0.000 0.000
0.500 0.500 0.262
0.500 0.000 0.508
0.500 0.500 0.767
```

Results
The value obtained for the formation energy from raw total energies is -0.244 eV/atom. As for the total magnetization: 0.00 Bohr magnetons per cell. Its total DFT energy (no corrections) is -21.89 eV/cell.

[13]
This record from the Alexandria database describes crystalline ScAlSi2 at its relaxed geometry. The functional is GGA-PBE.

```
ScAlSi2
1.0
-1.908 1.912 4.369
1.908 -1.912 4.369
1.908 1.912 -4.369
Sc Al Si
1 1 2
direct
0.000 0.000 0.000
0.750 0.250 0.500
0.250 0.750 0.500
0.499 0.499 0.000
```

Results
The value obtained for the formation energy from raw total energies is -0.352 eV/atom. As for the total magnetization: 0.00 Bohr magnetons per cell. Its total DFT energy (no corrections) is -22.33 eV/cell.

[14]
This record from the Alexandria database describes crystalline ScAlSi2 at its relaxed geometry. The functional is GGA-PBE.

```
ScAlSi2
1.0
-3.578 3.578 2.844
3.578 -3.578 2.844
3.578 3.578 -2.844
Sc Al Si
2 2 4
direct
0.000 0.000 0.000
0.750 0.250 0.500
0.250 0.750 0.500
0.500 0.500 0.000
0.155 0.625 0.030
0.375 0.405 0.530
0.595 0.125 0.970
0.875 0.845 0.470
```

Results
The value obtained for the formation energy from raw total energies is -0.082 eV/atom. As for the total magnetization: 0.00 Bohr magnetons per cell. Its total DFT energy (no corrections) is -42.49 eV/cell.

[15]
This record from the Alexandria database describes crystalline Sc2AlSi at its relaxed geometry. The functional is GGA-PBE.

```
Sc2AlSi
1.0
3.022 0.000 0.000
0.000 3.022 0.000
0.000 0.000 8.103
Sc Al Si
2 1 1
direct
0.000 0.000 0.232
0.000 0.000 0.768
0.500 0.500 0.500
0.500 0.500 0.000
```

Results
The value obtained for the formation energy from raw total energies is -0.479 eV/atom. As for the total magnetization: 0.55 Bohr magnetons per cell. Its total DFT energy (no corrections) is -23.74 eV/cell.

[16]
This record from the Alexandria database describes crystalline ScAlSi at its relaxed geometry. The functional is GGA-PBE.

```
ScAlSi
1.0
0.000 3.158 3.158
3.158 0.000 3.158
3.158 3.158 0.000
Sc Al Si
1 1 1
direct
0.000 0.000 0.000
0.750 0.750 0.750
0.250 0.250 0.250
```

Results
The value obtained for the formation energy from raw total energies is 0.059 eV/atom. As for the total magnetization: 0.00 Bohr magnetons per cell. Its total DFT energy (no corrections) is -15.32 eV/cell.

[17]
This record from the Alexandria database describes crystalline ScAlSi2 at its relaxed geometry. The functional is GGA-PBE.

```
ScAlSi2
1.0
3.594 0.000 0.000
0.000 3.594 0.000
0.000 0.000 5.268
Sc Al Si
1 1 2
direct
0.000 0.000 0.000
0.500 0.500 0.714
0.000 0.000 0.493
0.500 0.500 0.224
```

Results
The value obtained for the formation energy from raw total energies is -0.155 eV/atom. As for the total magnetization: 0.00 Bohr magnetons per cell. Its total DFT energy (no corrections) is -21.54 eV/cell.

[18]
This record from the Alexandria database describes crystalline ScAlSi2 at its relaxed geometry. The functional is GGA-PBE.

```
ScAlSi2
1.0
1.529 0.883 8.549
-1.529 0.883 8.549
0.000 -1.765 8.549
Sc Al Si
1 1 2
direct
0.000 0.000 0.000
0.761 0.761 0.761
0.246 0.246 0.246
0.508 0.508 0.508
```

Results
The value obtained for the formation energy from raw total energies is 0.019 eV/atom. As for the total magnetization: 0.00 Bohr magnetons per cell. Its total DFT energy (no corrections) is -20.84 eV/cell.

[19]
This record from the Alexandria database describes crystalline ScAlSi at its relaxed geometry. The functional is GGA-PBE.

```
ScAlSi
1.0
0.000 3.053 3.053
3.053 0.000 3.053
3.053 3.053 0.000
Sc Al Si
1 1 1
direct
0.000 0.000 0.000
0.500 0.500 0.500
0.750 0.750 0.750
```

Results
The value obtained for the formation energy from raw total energies is -0.214 eV/atom. As for the total magnetization: 0.00 Bohr magnetons per cell. Its total DFT energy (no corrections) is -16.14 eV/cell.

[20]
This record from the Alexandria database describes crystalline ScAlSi2 at its relaxed geometry. The functional is GGA-PBE.

```
ScAlSi2
1.0
2.831 -3.903 0.000
2.831 3.903 0.000
-0.023 0.000 2.992
Sc Al Si
1 1 2
direct
0.000 0.000 0.000
0.500 0.500 0.000
0.000 0.500 0.500
0.500 0.000 0.500
```

Results
The value obtained for the formation energy from raw total energies is -0.191 eV/atom. As for the total magnetization: 0.00 Bohr magnetons per cell. Its total DFT energy (no corrections) is -21.68 eV/cell.